CsB3As after structural relaxation, computed with PBE.

a b c (Å): 4.5304 4.5304 4.5304
angles (deg): 90.00 90.00 90.00
Closest atoms and distances in Å follow each position.
Positions (direct):
Cs1 0.0000 0.0000 0.0000  12 B 3.20
B1 0.0000 0.5000 0.5000  2 As 2.27
B2 0.5000 0.0000 0.5000  2 As 2.27
B3 0.5000 0.5000 0.0000  2 As 2.27
As1 0.5000 0.5000 0.5000  6 B 2.27

## Properties
Mass density (g/cm3): 4.29
Size of the total moment (μB per cell): 0.00
Energy of formation (eV per atom): 1.969
Total energy (Ry per atom): -0.231
DOS at the Fermi energy (states/eV per cell): 3.2